A plane-wave DFT calculation with PBE was carried out for an optimized crystal structure of Sr2SiAgPt.

Geometry as extended XYZ:
```
5
Lattice="5.941 0.000 0.000 0.000 5.941 0.000 0.000 0.000 4.531" Properties=species:S:1:pos:R:3 pbc="T T T"
Sr 0.000 2.971 0.000
Sr 2.971 0.000 0.000
Si 0.000 0.000 2.266
Ag 2.971 2.971 2.266
Pt 0.000 0.000 0.000
```

Results
total moment: 0.00 μB per atom
uncorrected formation energy: -2.2 eV/f.u.